A plane-wave DFT calculation with PBE was carried out for crystalline LiAcGaPd3 at its relaxed geometry.

Output
crystal system = orthorhombic
DOS(E_F) = 6.53 states/eV/cell
formation enthalpy at 0 K = -580 meV per atom

Lattice parameters (Å, degrees): 6.6994 6.6994 6.5278 90.00 90.00 126.46
Closest atoms and distances in Å follow each position.
Positions (direct):
Li 0.0582 0.9418 0.7500  4 Pd 2.39
Li 0.9418 0.0582 0.2500  4 Pd 2.39
Ac 0.3068 0.6932 0.7500  1 Li 2.97, 6 Pd 3.04-3.16
Ac 0.6932 0.3068 0.2500  1 Li 2.97, 6 Pd 3.04-3.16
Ga 0.3791 0.6209 0.2500  5 Pd 2.55-2.60
Ga 0.6209 0.3791 0.7500  5 Pd 2.55-2.60
Pd 0.1658 0.8342 0.2500  1 Ga 2.55, 1 Li 2.68
Pd 0.2651 0.2651 0.0000  2 Li 2.39, 2 Ga 2.60
Pd 0.2651 0.2651 0.5000  2 Li 2.39, 2 Ga 2.60
Pd 0.7349 0.7349 0.0000  2 Li 2.39, 2 Ga 2.60
Pd 0.7349 0.7349 0.5000  2 Li 2.39, 2 Ga 2.60
Pd 0.8342 0.1658 0.7500  1 Ga 2.55, 1 Li 2.68